1.
Entry from Alexandria: a relaxed Ce2Y2Er5 crystal (PBE-GGA).

Space-group type: C2/m (12)
Energy of formation from the pure elements: 0.12 eV/atom

abc: 5.6108 8.6654 8.9664
angles: 43.20 71.77 71.11
Last column: nearest neighbours and their distance in Å.
Sites, in units of the cell vectors:
Ce: 0.0782 0.3324 0.5112  1 Ce 2.62
Ce: 0.9218 0.6676 0.4888  1 Ce 2.62
Y: 0.4368 0.3433 0.7830  4 Ce 3.45-3.68, 7 Er 3.46-3.78, 1 Y 3.54
Y: 0.5632 0.6567 0.2170  4 Ce 3.45-3.68, 7 Er 3.46-3.78, 1 Y 3.54
Er: 0.3192 0.0057 0.3559  6 Er 3.51-3.75, 3 Ce 3.53-3.72, 3 Y 3.55-3.89
Er: 0.6808 0.9943 0.6441  6 Er 3.51-3.75, 3 Ce 3.53-3.72, 3 Y 3.55-3.89
Er: 0.2072 0.6454 0.9403  6 Er 3.28-3.60, 1 Y 3.54, 1 Ce 3.58
Er: 0.7928 0.3546 0.0598  6 Er 3.28-3.60, 1 Y 3.54, 1 Ce 3.58
Er: 0.0000 0.0000 0.0000  2 Ce 2.98, 2 Er 3.28


2.
Entry from Alexandria: a relaxed TbNd2ErP4 crystal (PBE-GGA).

Space-group type: P2/m (10)
Energy of formation from the pure elements: -1.57 eV/atom

abc: 4.0861 7.0734 7.0698
angles: 109.47 90.00 90.00
Last column: nearest neighbours and their distance in Å.
Sites, in units of the cell vectors:
Tb: 0.0000 0.0000 0.0000  6 P 2.86
Nd: 0.5000 0.0000 0.5000  6 P 2.93
Nd: 0.0000 0.5000 0.5000  6 P 2.92
Er: 0.5000 0.5000 0.0000  6 P 2.84
P: 0.5000 0.2485 0.2404  1 Er 2.84, 2 Tb 2.86, 3 Nd 2.92-2.93
P: 0.5000 0.7515 0.7596  1 Er 2.84, 2 Tb 2.86, 3 Nd 2.92-2.93
P: 0.0000 0.2552 0.7608  2 Er 2.84, 1 Tb 2.86, 3 Nd 2.92-2.93
P: 0.0000 0.7448 0.2392  2 Er 2.84, 1 Tb 2.86, 3 Nd 2.92-2.93


3.
Entry from Alexandria: a relaxed KRb7Na4 crystal (PBE-GGA).

Space-group type: C2/m (12)
Energy of formation from the pure elements: 0.06 eV/atom

abc: 7.7470 12.2204 10.3997
angles: 74.80 68.13 71.52
Last column: nearest neighbours and their distance in Å.
Sites, in units of the cell vectors:
K: 0.0000 0.0000 0.0000  2 Rb 3.87
Rb: 0.7860 0.8886 0.5394  6 Rb 4.61-4.96, 4 Na 4.63-4.80, 1 K 5.15
Rb: 0.2140 0.1114 0.4606  6 Rb 4.61-4.96, 4 Na 4.63-4.80, 1 K 5.15
Rb: 0.0696 0.6048 0.2560  3 Na 4.12-4.28, 1 Rb 4.61
Rb: 0.9304 0.3952 0.7440  3 Na 4.12-4.28, 1 Rb 4.61
Rb: 0.2907 0.6612 0.7573  4 Na 4.02-4.43
Rb: 0.5000 0.0000 0.0000  2 K 3.87, 4 Na 3.97-4.06
Rb: 0.7093 0.3388 0.2427  4 Na 4.02-4.43
Na: 0.5366 0.2620 0.6648  1 Na 3.68, 2 Rb 4.02-4.06
Na: 0.4634 0.7380 0.3352  1 Na 3.68, 2 Rb 4.02-4.06
Na: 0.6794 0.6602 0.9809  1 Na 3.68, 1 Rb 3.97
Na: 0.3206 0.3398 0.0191  1 Na 3.68, 1 Rb 3.97


4.
Entry from Alexandria: a relaxed Nd3Sm5Ir2 crystal (PBE-GGA).

Space-group type: Ibam (72)
Energy of formation from the pure elements: -0.18 eV/atom

abc: 6.9801 10.1852 10.1852
angles: 78.28 69.96 69.96
Last column: nearest neighbours and their distance in Å.
Sites, in units of the cell vectors:
Nd: 0.2500 0.0000 0.0000  4 Ir 3.09
Nd: 0.7500 0.0000 0.0000  4 Ir 3.09
Nd: 0.3166 0.4334 0.9334  1 Ir 2.97
Nd: 0.6834 0.5666 0.0666  1 Ir 2.97
Nd: 0.8166 0.9334 0.4334  1 Ir 2.97
Nd: 0.1834 0.0666 0.5666  1 Ir 2.97
Sm: 0.2500 0.5000 0.5000  8 Sm 3.30-3.49
Sm: 0.7500 0.5000 0.5000  8 Sm 3.30-3.49
Sm: 0.5158 0.7342 0.7342  2 Ir 2.77
Sm: 0.9842 0.2658 0.2658  2 Ir 2.77
Sm: 0.4842 0.2658 0.2658  2 Ir 2.77
Sm: 0.0158 0.7342 0.7342  2 Ir 2.77
Sm: 0.0658 0.6400 0.2283  1 Ir 2.67
Sm: 0.9342 0.3600 0.7717  1 Ir 2.67
Sm: 0.5658 0.2283 0.6400  1 Ir 2.67
Sm: 0.4342 0.7717 0.3600  1 Ir 2.67
Ir: 0.1504 0.7409 0.9583  3 Sm 2.67-2.77, 1 Nd 2.97
Ir: 0.8496 0.2591 0.0417  3 Sm 2.67-2.77, 1 Nd 2.97
Ir: 0.6504 0.9583 0.7409  3 Sm 2.67-2.77, 1 Nd 2.97
Ir: 0.3496 0.0417 0.2591  3 Sm 2.67-2.77, 1 Nd 2.97


5.
Entry from Alexandria: a relaxed YIrW2 crystal (PBE-GGA).

Space-group type: Cm (8)
Offset from the most stable computed form: 193 meV/atom
Energy of formation from the pure elements: 0.27 eV/atom

abc: 5.1136 5.1136 5.3005
angles: 72.06 72.06 35.31
Last column: nearest neighbours and their distance in Å.
Sites, in units of the cell vectors:
Ir: 0.2703 0.2703 0.1985  4 W 2.66-2.72, 2 Y 2.98
W: 0.0020 0.0020 0.9963  2 W 2.57, 2 Ir 2.66
W: 0.7222 0.7222 0.8150  2 W 2.57, 2 Ir 2.72
Y: 0.5055 0.5055 0.4902  3 Ir 2.98-3.15, 7 W 3.05-3.15, 2 Y 3.10


6.
Entry from Alexandria: a relaxed Ac3SmGa2O9 crystal (PBE-GGA).

E_form (uncorrected): -41.7 eV/f.u.
Space-group type: P-3m1 (164)

abc: 5.7714 5.7714 7.5595
angles: 90.00 90.00 120.00
Last column: nearest neighbours and their distance in Å.
Sites, in units of the cell vectors:
Ac: 0.3333 0.6667 0.7349  9 O 2.61-2.90
Ac: 0.0000 0.0000 0.0000  12 O 2.81-2.89
Ac: 0.6667 0.3333 0.2651  9 O 2.61-2.90
Sm: 0.0000 0.0000 0.5000  6 O 2.27
Ga: 0.3333 0.6667 0.1742  6 O 1.90-2.12
Ga: 0.6667 0.3333 0.8258  6 O 1.90-2.12
O: 0.8321 0.1679 0.7013  1 Ga 1.90
O: 0.8321 0.6643 0.7013  1 Ga 1.90
O: 0.3357 0.1679 0.7013  1 Ga 1.90
O: 0.6643 0.8321 0.2987  1 Ga 1.90
O: 0.1679 0.3357 0.2987  1 Ga 1.90
O: 0.1679 0.8321 0.2987  1 Ga 1.90
O: 0.5000 0.0000 0.0000  2 Ga 2.12
O: 0.0000 0.5000 0.0000  2 Ga 2.12
O: 0.5000 0.5000 0.0000  2 Ga 2.12


7.
Entry from Alexandria: a relaxed Ca3VPb crystal (PBE-GGA).

Space-group type: Pm-3m (221)
Offset from the most stable computed form: 33 meV/atom
Energy of formation from the pure elements: 0.57 eV/atom

abc: 5.9514 5.9514 5.9514
angles: 90.00 90.00 90.00
Last column: nearest neighbours and their distance in Å.
Sites, in units of the cell vectors:
Pb: 0.0000 0.0000 0.0000  6 Ca 2.98
Ca: 0.0000 0.5000 0.0000  2 Pb 2.98
Ca: 0.0000 0.0000 0.5000  2 Pb 2.98
Ca: 0.5000 0.0000 0.0000  2 Pb 2.98
V: 0.5000 0.5000 0.5000  12 Ca 4.21


8.
Entry from Alexandria: a relaxed CaReW2 crystal (PBE-GGA).

Space-group type: Cmmm (65)
Offset from the most stable computed form: 80 meV/atom
Energy of formation from the pure elements: 0.59 eV/atom

abc: 2.7956 2.7956 9.6946
angles: 90.00 90.00 109.57
Last column: nearest neighbours and their distance in Å.
Sites, in units of the cell vectors:
Re: 0.5000 0.5000 0.7500  4 W 2.68, 4 Re 2.80
Ca: 0.5000 0.5000 0.2500  4 Ca 2.80
W: 0.0000 0.0000 0.9714  2 Re 2.68, 4 W 2.80
W: 0.0000 0.0000 0.5286  2 Re 2.68, 4 W 2.80


9.
Entry from Alexandria: a relaxed MgScGa4 crystal (PBE-GGA).

Space-group type: Immm (71)
Offset from the most stable computed form: 0 meV/atom
Energy of formation from the pure elements: -0.34 eV/atom

abc: 4.2816 5.5685 5.5685
angles: 94.81 67.39 67.39
Last column: nearest neighbours and their distance in Å.
Sites, in units of the cell vectors:
Mg: 0.5000 0.5000 0.5000  12 Ga 2.98-3.14, 2 Sc 3.10
Sc: 0.0000 0.0000 0.0000  12 Ga 2.96-3.16, 2 Mg 3.10
Ga: 0.7458 0.5888 0.9196  3 Ga 2.55-2.71
Ga: 0.7458 0.9196 0.5888  3 Ga 2.55-2.71
Ga: 0.2542 0.4112 0.0804  3 Ga 2.55-2.71
Ga: 0.2542 0.0804 0.4112  3 Ga 2.55-2.71


10.
Entry from Alexandria: a relaxed Rb2HfCdS4 crystal (PBE-GGA).

E_form (uncorrected): -9.7 eV/f.u.
Space-group type: I-4 (82)

abc: 7.3650 7.3645 7.0920
angles: 121.30 121.30 89.98
Last column: nearest neighbours and their distance in Å.
Sites, in units of the cell vectors:
Rb: 0.4861 0.9860 0.9721  4 S 3.45
Rb: 0.2361 0.2361 0.4721  4 S 3.27
Hf: 0.9859 0.4858 0.9717  4 S 2.40
Cd: 0.7359 0.7359 0.4718  4 S 2.57
S: 0.7012 0.5880 0.7134  1 Hf 2.40, 1 Cd 2.57
S: 0.8835 0.4593 0.2297  1 Hf 2.40, 1 Cd 2.57
S: 0.3462 0.7704 0.2298  1 Hf 2.40, 1 Cd 2.57
S: 0.0123 0.1254 0.7135  1 Hf 2.40, 1 Cd 2.57


11.
Entry from Alexandria: a relaxed LiMgMn2 crystal (PBE-GGA).

Space-group type: Pmmm (47)
Energy of formation from the pure elements: 0.38 eV/atom

abc: 3.1193 4.4818 4.6198
angles: 90.00 90.00 90.00
Last column: nearest neighbours and their distance in Å.
Sites, in units of the cell vectors:
Li: 0.5000 0.0000 0.5000  4 Mg 2.73, 4 Mn 2.79
Mg: 0.0000 0.5000 0.5000  4 Li 2.73, 4 Mn 2.79
Mn: 0.0000 0.0000 0.0000  4 Mn 2.73, 4 Li 2.79
Mn: 0.5000 0.5000 0.0000  4 Mn 2.73, 4 Mg 2.79


12.
Entry from Alexandria: a relaxed AlBRh3 crystal (PBE-GGA).

Space-group type: P6_3/mmc (194)
Energy of formation from the pure elements: -0.49 eV/atom

abc: 4.6611 5.6907 5.6907
angles: 120.00 90.00 90.00
Last column: nearest neighbours and their distance in Å.
Sites, in units of the cell vectors:
Al: 0.2500 0.3334 0.6666  12 Rh 2.81-2.85
Al: 0.7500 0.6666 0.3334  12 Rh 2.81-2.85
B: 0.0000 0.0000 0.0000  6 Rh 2.08
B: 0.5000 0.0000 0.0000  6 Rh 2.08
Rh: 0.2500 0.8253 0.1747  2 B 2.08
Rh: 0.7500 0.1747 0.8253  2 B 2.08
Rh: 0.2500 0.8253 0.6505  2 B 2.08
Rh: 0.7500 0.1747 0.3495  2 B 2.08
Rh: 0.2500 0.3495 0.1747  2 B 2.08
Rh: 0.7500 0.6505 0.8253  2 B 2.08